Entry 1:
LaCeF6 after structural relaxation. Source: the Alexandria database, functional GGA-PBEsol.

Results
Symmetry   No. 38
Calculated total energy   -7.00 eV/atom
Size of the total moment   1.000 μB per formula unit

abc: 7.2455 4.0958 7.1131
angles: 90.00 90.00 90.00
With the nearest neighbours (Å) after each atom.
Fractional coordinates of all 16 atoms:
La 0.0000 0.0000 0.0000  5 F 2.37-2.40
La 0.0000 0.5000 0.5000  5 F 2.37-2.40
Ce 0.5000 0.0000 0.3353  5 F 2.37-2.38
Ce 0.5000 0.5000 0.8353  5 F 2.37-2.38
F 0.0000 0.0000 0.6670  3 La 2.37
F 0.0000 0.5000 0.1670  3 La 2.37
F 0.1713 0.0000 0.3340  1 Ce 2.38, 4 F 2.48-2.64
F 0.1713 0.5000 0.8340  1 Ce 2.38, 4 F 2.48-2.64
F 0.3310 0.0000 0.0010  1 La 2.40, 7 F 2.45-2.67, 3 Ce 2.66-2.67
F 0.3310 0.5000 0.5010  1 La 2.40, 7 F 2.45-2.67, 3 Ce 2.66-2.67
F 0.5000 0.0000 0.6682  3 Ce 2.37
F 0.5000 0.5000 0.1682  3 Ce 2.37
F 0.6690 0.0000 0.0010  1 La 2.40, 7 F 2.45-2.67, 3 Ce 2.66-2.67
F 0.6690 0.5000 0.5010  1 La 2.40, 7 F 2.45-2.67, 3 Ce 2.66-2.67
F 0.8287 0.0000 0.3340  1 Ce 2.38, 4 F 2.48-2.64
F 0.8287 0.5000 0.8340  1 Ce 2.38, 4 F 2.48-2.64

=====

Entry 2:
Bi2PbSe after structural relaxation. Source: the Alexandria database, functional GGA-PBEsol.

Results
Symmetry   No. 122
Size of the total moment   0.000 μB per formula unit
Energy above the lowest structure with this stoichiometry   0.132 eV/atom

abc: 6.2120 6.2120 16.0028
angles: 90.00 90.00 90.00
With the nearest neighbours (Å) after each atom.
Fractional coordinates of all 16 atoms:
Bi 0.2082 0.2500 0.1250  2 Se 2.84, 2 Pb 3.11
Bi 0.2500 0.7082 0.3750  2 Se 2.84, 2 Pb 3.11
Bi 0.2500 0.7918 0.8750  2 Se 2.84, 2 Pb 3.11
Bi 0.2918 0.2500 0.6250  2 Se 2.84, 2 Pb 3.11
Bi 0.7082 0.7500 0.6250  2 Se 2.84, 2 Pb 3.11
Bi 0.7500 0.2082 0.8750  2 Se 2.84, 2 Pb 3.11
Bi 0.7500 0.2918 0.3750  2 Se 2.84, 2 Pb 3.11
Bi 0.7918 0.7500 0.1250  2 Se 2.84, 2 Pb 3.11
Pb 0.0000 0.0000 0.5000  4 Bi 3.11
Pb 0.0000 0.5000 0.7500  4 Bi 3.11
Pb 0.5000 0.0000 0.2500  4 Bi 3.11
Pb 0.5000 0.5000 0.0000  4 Bi 3.11
Se 0.0000 0.0000 0.0000  4 Bi 2.84
Se 0.0000 0.5000 0.2500  4 Bi 2.84
Se 0.5000 0.0000 0.7500  4 Bi 2.84
Se 0.5000 0.5000 0.5000  4 Bi 2.84

=====

Entry 3:
Li3Fe2Si2O8 after structural relaxation. Source: the Alexandria database, functional GGA-PBEsol.

Results
Symmetry   No. 5
Size of the total moment   9.000 μB per formula unit
Energy above the lowest structure with this stoichiometry   0.000 eV/atom

abc: 5.2090 5.2090 6.3042
angles: 90.51 90.51 88.14
With the nearest neighbours (Å) after each atom.
Fractional coordinates of all 15 atoms:
Li 0.0000 0.0000 0.0000  4 O 1.98-2.07
Li 0.1297 0.4928 0.7499  4 O 1.89-2.03
Li 0.5072 0.8703 0.2501  4 O 1.89-2.03
Fe 0.1416 0.5000 0.2590  4 O 1.87-1.96
Fe 0.5000 0.8584 0.7410  4 O 1.87-1.96
Si 0.6348 0.3652 0.0000  4 O 1.63-1.66
Si 0.9934 0.0066 0.5000  4 O 1.63-1.66
O 0.0511 0.3121 0.4978  1 Si 1.63
O 0.1186 0.8753 0.2816  1 Si 1.66
O 0.1247 0.8814 0.7184  1 Si 1.66
O 0.5027 0.4938 0.2104  1 Si 1.63
O 0.5062 0.4973 0.7896  1 Si 1.63
O 0.6046 0.0488 0.9914  1 Si 1.66
O 0.6879 0.9489 0.5022  1 Si 1.63
O 0.9512 0.3954 0.0086  1 Si 1.66

=====

Entry 4:
AsIr3 after structural relaxation. Source: the Alexandria database, functional GGA-PBEsol.

Results
Symmetry   No. 187
Size of the total moment   0.001 μB per formula unit
Energy above the lowest structure with this stoichiometry   0.107 eV/atom
Energy of formation from the pure elements   0.264 eV per atom

abc: 2.7884 2.7884 8.6233
angles: 90.00 90.00 120.00
With the nearest neighbours (Å) after each atom.
Fractional coordinates of all 4 atoms:
As 0.0000 0.0000 0.0000  6 Ir 2.67, 6 As 2.79
Ir 0.0000 0.0000 0.5000  12 Ir 2.71-2.79
Ir 0.3333 0.6667 0.2466  3 As 2.67, 9 Ir 2.71-2.79
Ir 0.3333 0.6667 0.7534  3 As 2.67, 9 Ir 2.71-2.79

=====

Entry 5:
CaCd2Re after structural relaxation. Source: the Alexandria database, functional GGA-PBEsol.

Results
Symmetry   No. 225
Size of the total moment   0.794 μB per formula unit
Energy above the lowest structure with this stoichiometry   0.034 eV/atom
Energy of formation from the pure elements   0.530 eV per atom

abc: 6.8084 6.8084 6.8084
angles: 90.00 90.00 90.00
With the nearest neighbours (Å) after each atom.
Fractional coordinates of all 16 atoms:
Ca 0.0000 0.0000 0.0000  8 Cd 2.95
Ca 0.0000 0.5000 0.5000  8 Cd 2.95
Ca 0.5000 0.0000 0.5000  8 Cd 2.95
Ca 0.5000 0.5000 0.0000  8 Cd 2.95
Cd 0.2500 0.2500 0.2500  4 Re 2.95, 4 Ca 2.95
Cd 0.2500 0.2500 0.7500  4 Re 2.95, 4 Ca 2.95
Cd 0.2500 0.7500 0.2500  4 Re 2.95, 4 Ca 2.95
Cd 0.2500 0.7500 0.7500  4 Re 2.95, 4 Ca 2.95
Cd 0.7500 0.2500 0.2500  4 Re 2.95, 4 Ca 2.95
Cd 0.7500 0.2500 0.7500  4 Re 2.95, 4 Ca 2.95
Cd 0.7500 0.7500 0.2500  4 Re 2.95, 4 Ca 2.95
Cd 0.7500 0.7500 0.7500  4 Re 2.95, 4 Ca 2.95
Re 0.0000 0.0000 0.5000  8 Cd 2.95
Re 0.0000 0.5000 0.0000  8 Cd 2.95
Re 0.5000 0.0000 0.0000  8 Cd 2.95
Re 0.5000 0.5000 0.5000  8 Cd 2.95

=====

Entry 6:
Sc2Ge2Pt after structural relaxation. Source: the Alexandria database, functional GGA-PBEsol.

Results
Symmetry   No. 127
Size of the total moment   0.000 μB per formula unit
Energy of formation from the pure elements   -1.005 eV per atom

abc: 6.4511 6.4511 4.1545
angles: 90.00 90.00 90.00
With the nearest neighbours (Å) after each atom.
Fractional coordinates of all 10 atoms:
Sc 0.1698 0.3302 0.0000  6 Ge 2.72-2.88
Sc 0.3302 0.8302 0.0000  6 Ge 2.72-2.88
Sc 0.6698 0.1698 0.0000  6 Ge 2.72-2.88
Sc 0.8302 0.6698 0.0000  6 Ge 2.72-2.88
Ge 0.1376 0.6376 0.5000  2 Pt 2.50, 1 Ge 2.51, 2 Sc 2.72
Ge 0.3624 0.1376 0.5000  2 Pt 2.50, 1 Ge 2.51, 2 Sc 2.72
Ge 0.6376 0.8624 0.5000  2 Pt 2.50, 1 Ge 2.51, 2 Sc 2.72
Ge 0.8624 0.3624 0.5000  2 Pt 2.50, 1 Ge 2.51, 2 Sc 2.72
Pt 0.0000 0.0000 0.5000  4 Ge 2.50
Pt 0.5000 0.5000 0.5000  4 Ge 2.50

=====

Entry 7:
Li2AgHg2 after structural relaxation. Source: the Alexandria database, functional GGA-PBEsol.

Results
Symmetry   No. 127
Size of the total moment   0.000 μB per formula unit
Energy of formation from the pure elements   -0.254 eV per atom

abc: 7.5003 7.5003 3.1526
angles: 90.00 90.00 90.00
With the nearest neighbours (Å) after each atom.
Fractional coordinates of all 10 atoms:
Li 0.1614 0.3386 0.0000  6 Hg 2.64-2.76
Li 0.3386 0.8386 0.0000  6 Hg 2.64-2.76
Li 0.6614 0.1614 0.0000  6 Hg 2.64-2.76
Li 0.8386 0.6614 0.0000  6 Hg 2.64-2.76
Ag 0.0000 0.0000 0.5000  4 Hg 2.90, 2 Ag 3.15, 8 Li 3.22
Ag 0.5000 0.5000 0.5000  4 Hg 2.90, 2 Ag 3.15, 8 Li 3.22
Hg 0.1393 0.6393 0.5000  6 Li 2.64-2.76, 2 Ag 2.90
Hg 0.3607 0.1393 0.5000  6 Li 2.64-2.76, 2 Ag 2.90
Hg 0.6393 0.8607 0.5000  6 Li 2.64-2.76, 2 Ag 2.90
Hg 0.8607 0.3607 0.5000  6 Li 2.64-2.76, 2 Ag 2.90

=====

Entry 8:
BaSr7Ti7MnO24 after structural relaxation. Source: the Alexandria database, functional GGA-PBEsol.

Results
Symmetry   No. 160
Calculated total energy   -8.31 eV/atom
Size of the total moment   2.960 μB per formula unit

abc: 7.7890 7.7890 7.7890
angles: 90.00 90.00 90.00
With the nearest neighbours (Å) after each atom.
Fractional coordinates of all 40 atoms:
Ba 0.0000 0.0000 0.0000  12 O 2.79-2.80
Sr 0.4955 0.9995 0.9995  12 O 2.73-2.78
Sr 0.4963 0.4963 0.9986  12 O 2.68-2.78
Sr 0.4963 0.9986 0.4963  12 O 2.68-2.78
Sr 0.4970 0.4970 0.4970  12 O 2.71-2.77
Sr 0.9995 0.4955 0.9995  12 O 2.73-2.78
Sr 0.9986 0.4963 0.4963  12 O 2.68-2.78
Sr 0.9995 0.9995 0.4955  12 O 2.73-2.78
Ti 0.2483 0.7465 0.7465  6 O 1.93-1.98
Ti 0.2489 0.2489 0.7442  6 O 1.94-2.03
Ti 0.2489 0.7442 0.2489  6 O 1.94-2.03
Ti 0.7442 0.2489 0.2489  6 O 1.94-2.03
Ti 0.7465 0.2483 0.7465  6 O 1.93-1.98
Ti 0.7465 0.7465 0.2483  6 O 1.93-1.98
Ti 0.7462 0.7462 0.7462  6 O 1.93-1.98
Mn 0.2487 0.2487 0.2487  6 O 1.90-1.92
O 0.0000 0.2529 0.7461  2 Ti 1.94-1.98
O 0.0000 0.7461 0.2529  2 Ti 1.94-1.98
O 0.9999 0.7461 0.7462  2 Ti 1.93-1.98
O 0.0048 0.2528 0.2528  1 Mn 1.90, 1 Ti 2.03
O 0.2506 0.2506 0.4950  1 Mn 1.92, 1 Ti 1.94
O 0.2506 0.4950 0.2506  1 Mn 1.92, 1 Ti 1.94
O 0.2510 0.4987 0.7484  2 Ti 1.93-1.95
O 0.2510 0.7484 0.4987  2 Ti 1.93-1.95
O 0.2529 0.0000 0.7461  2 Ti 1.94-1.98
O 0.2528 0.0048 0.2528  1 Mn 1.90, 1 Ti 2.03
O 0.2528 0.2528 0.0048  1 Mn 1.90, 1 Ti 2.03
O 0.2529 0.7461 0.0000  2 Ti 1.94-1.98
O 0.4950 0.2506 0.2506  1 Mn 1.92, 1 Ti 1.94
O 0.4987 0.2510 0.7484  2 Ti 1.93-1.95
O 0.4987 0.7484 0.2510  2 Ti 1.93-1.95
O 0.4990 0.7483 0.7483  2 Ti 1.93-1.95
O 0.7461 0.0000 0.2529  2 Ti 1.94-1.98
O 0.7462 0.9999 0.7462  2 Ti 1.93-1.98
O 0.7461 0.2529 0.0000  2 Ti 1.94-1.98
O 0.7462 0.7462 0.9999  2 Ti 1.93-1.98
O 0.7484 0.2510 0.4987  2 Ti 1.93-1.95
O 0.7484 0.4987 0.2510  2 Ti 1.93-1.95
O 0.7483 0.4990 0.7483  2 Ti 1.93-1.95
O 0.7483 0.7483 0.4990  2 Ti 1.93-1.95

=====

Entry 9:
Cd2AgAu after structural relaxation. Source: the Alexandria database, functional GGA-PBEsol.

Results
Symmetry   No. 119
Size of the total moment   0.000 μB per formula unit
Energy above the lowest structure with this stoichiometry   0.004 eV/atom
Energy of formation from the pure elements   -0.138 eV per atom

abc: 4.0949 4.0949 8.6090
angles: 90.00 90.00 90.00
With the nearest neighbours (Å) after each atom.
Fractional coordinates of all 8 atoms:
Cd 0.0000 0.0000 0.0000  4 Ag 2.90, 4 Cd 2.97, 4 Au 2.97
Cd 0.0000 0.5000 0.2500  4 Au 2.90, 4 Cd 2.97, 4 Ag 2.97
Cd 0.5000 0.0000 0.7500  4 Au 2.90, 4 Cd 2.97, 4 Ag 2.97
Cd 0.5000 0.5000 0.5000  4 Ag 2.90, 4 Cd 2.97, 4 Au 2.97
Ag 0.0000 0.0000 0.5000  8 Cd 2.90-2.97, 4 Au 2.97
Ag 0.5000 0.5000 0.0000  8 Cd 2.90-2.97, 4 Au 2.97
Au 0.0000 0.5000 0.7500  8 Cd 2.90-2.97, 4 Ag 2.97
Au 0.5000 0.0000 0.2500  8 Cd 2.90-2.97, 4 Ag 2.97

=====

Entry 10:
Gd3SbO7 after structural relaxation. Source: the Alexandria database, functional GGA-PBEsol.

Results
Symmetry   No. 2
Size of the total moment   21.000 μB per formula unit
Energy above the lowest structure with this stoichiometry   0.004 eV/atom

abc: 6.4399 6.4682 7.5745
angles: 73.12 89.86 81.98
With the nearest neighbours (Å) after each atom.
Fractional coordinates of all 22 atoms:
Gd 0.0401 0.0046 0.2478  7 O 2.21-2.42
Gd 0.2362 0.5348 0.6172  7 O 2.30-2.49
Gd 0.2410 0.5234 0.1158  4 O 2.23-2.45
Gd 0.7590 0.4766 0.8842  4 O 2.23-2.45
Gd 0.7638 0.4652 0.3828  7 O 2.30-2.49
Gd 0.9599 0.9954 0.7522  7 O 2.21-2.42
Sb 0.5000 0.0000 0.0000  6 O 1.97-2.03
Sb 0.5000 0.0000 0.5000  6 O 1.98-2.03
O 0.0481 0.6368 0.8445  4 Gd 2.21-2.30
O 0.0594 0.6451 0.3340  4 Gd 2.21-2.34
O 0.2101 0.9328 0.5466  1 Sb 1.98
O 0.2123 0.9334 0.9853  1 Sb 1.97
O 0.4023 0.0697 0.2320  2 Sb 2.02-2.03
O 0.4243 0.3206 0.4537  1 Sb 1.99
O 0.4276 0.3289 0.8882  1 Sb 2.03
O 0.5724 0.6711 0.1118  1 Sb 2.03
O 0.5757 0.6794 0.5463  1 Sb 1.99
O 0.5977 0.9303 0.7680  2 Sb 2.02-2.03
O 0.7877 0.0666 0.0147  1 Sb 1.97
O 0.7899 0.0672 0.4534  1 Sb 1.98
O 0.9406 0.3549 0.6660  4 Gd 2.21-2.34
O 0.9519 0.3632 0.1555  4 Gd 2.21-2.30

=====

Entry 11:
TaAlCr2 after structural relaxation. Source: the Alexandria database, functional GGA-PBEsol.

Results
Symmetry   No. 123
Size of the total moment   2.403 μB per formula unit
Energy of formation from the pure elements   -0.001 eV per atom

abc: 4.1831 4.1831 3.1542
angles: 90.00 90.00 90.00
With the nearest neighbours (Å) after each atom.
Fractional coordinates of all 4 atoms:
Ta 0.0000 0.0000 0.0000  8 Cr 2.62
Al 0.5000 0.5000 0.0000  8 Cr 2.62
Cr 0.0000 0.5000 0.5000  4 Ta 2.62, 4 Al 2.62
Cr 0.5000 0.0000 0.5000  4 Ta 2.62, 4 Al 2.62

=====

Entry 12:
Ta2MnTe after structural relaxation. Source: the Alexandria database, functional GGA-PBEsol.

Results
Symmetry   No. 123
Calculated total energy   -9.34 eV/atom
Size of the total moment   1.296 μB per formula unit

abc: 3.3236 3.3236 6.1860
angles: 90.00 90.00 90.00
With the nearest neighbours (Å) after each atom.
Fractional coordinates of all 4 atoms:
Ta 0.0000 0.0000 0.2199  4 Mn 2.72, 1 Ta 2.72, 4 Te 2.92
Ta 0.0000 0.0000 0.7801  4 Mn 2.72, 1 Ta 2.72, 4 Te 2.92
Mn 0.5000 0.5000 0.0000  8 Ta 2.72
Te 0.5000 0.5000 0.5000  8 Ta 2.92, 2 Mn 3.09

=====

Entry 13:
ScAlSn2Au after structural relaxation. Source: the Alexandria database, functional GGA-PBEsol.

Results
Symmetry   No. 123
Size of the total moment   0.000 μB per formula unit
Energy of formation from the pure elements   0.568 eV per atom

abc: 5.4228 5.4228 4.9931
angles: 90.00 90.00 90.00
With the nearest neighbours (Å) after each atom.
Fractional coordinates of all 5 atoms:
Sc 0.0000 0.0000 0.0000  2 Au 2.50, 4 Sn 2.71
Al 0.5000 0.5000 0.5000  8 Sn 3.69, 4 Au 3.83
Sn 0.0000 0.5000 0.0000  2 Sc 2.71
Sn 0.5000 0.0000 0.0000  2 Sc 2.71
Au 0.0000 0.0000 0.5000  2 Sc 2.50